No. 1
KMgSe at its PBEsol-relaxed geometry, computed with meta-GGA SCAN.

a = 5.034 Å, b = 5.034 Å, c = 5.034 Å
α = 60.00°, β = 60.00°, γ = 60.00°
Fractional coordinates of all 3 atoms:
K: 0.000 0.000 0.000
Mg: 0.750 0.750 0.750
Se: 0.500 0.500 0.500

## Properties
- calculated total energy (eV/atom) = -11.52
- uncorrected formation energy (eV/atom) = -0.39

=====

No. 2
Li2P2WO8 at its PBEsol-relaxed geometry, computed with meta-GGA SCAN.

a = 5.794 Å, b = 4.852 Å, c = 10.108 Å
α = 90.00°, β = 90.00°, γ = 90.00°
Fractional coordinates of all 26 atoms:
Li: 0.000 0.187 0.000
Li: 0.000 0.232 0.323
Li: 0.000 0.768 0.823
Li: 0.000 0.813 0.500
P: 0.000 0.321 0.647
P: 0.000 0.679 0.147
P: 0.500 0.115 0.473
P: 0.500 0.885 0.973
W: 0.500 0.308 0.787
W: 0.500 0.692 0.287
O: 0.000 0.013 0.665
O: 0.000 0.420 0.505
O: 0.000 0.580 0.005
O: 0.000 0.987 0.165
O: 0.208 0.464 0.726
O: 0.208 0.536 0.226
O: 0.294 0.043 0.905
O: 0.294 0.957 0.405
O: 0.500 0.065 0.623
O: 0.500 0.423 0.443
O: 0.500 0.577 0.943
O: 0.500 0.935 0.123
O: 0.706 0.043 0.905
O: 0.706 0.957 0.405
O: 0.792 0.464 0.726
O: 0.792 0.536 0.226

## Properties
- offset from the most stable computed form (meV per atom) = 39.7
- calculated total energy (eV/atom) = -13.48
- uncorrected formation energy (eV/atom) = -2.31

=====

No. 3
Cr12Rh17 at its PBEsol-relaxed geometry, computed with meta-GGA SCAN.

a = 7.815 Å, b = 7.815 Å, c = 7.815 Å
α = 109.47°, β = 109.47°, γ = 109.47°
Fractional coordinates of all 29 atoms:
Cr: 0.000 0.196 0.367
Cr: 0.000 0.367 0.196
Cr: 0.172 0.804 0.804
Cr: 0.196 0.000 0.367
Cr: 0.196 0.367 0.000
Cr: 0.367 0.000 0.196
Cr: 0.367 0.196 0.000
Cr: 0.633 0.633 0.828
Cr: 0.633 0.828 0.633
Cr: 0.804 0.172 0.804
Cr: 0.804 0.804 0.172
Cr: 0.828 0.633 0.633
Rh: 0.000 0.000 0.000
Rh: 0.000 0.000 0.665
Rh: 0.000 0.393 0.684
Rh: 0.000 0.665 0.000
Rh: 0.000 0.684 0.393
Rh: 0.291 0.607 0.607
Rh: 0.316 0.316 0.709
Rh: 0.316 0.709 0.316
Rh: 0.335 0.335 0.335
Rh: 0.393 0.000 0.684
Rh: 0.393 0.684 0.000
Rh: 0.607 0.291 0.607
Rh: 0.607 0.607 0.291
Rh: 0.665 0.000 0.000
Rh: 0.684 0.000 0.393
Rh: 0.684 0.393 0.000
Rh: 0.709 0.316 0.316

## Properties
- calculated formation energy (meV/atom) = -51
- calculated total energy (eV/atom) = -27.46

=====

No. 4
Rb2LiSmCl6 at its PBEsol-relaxed geometry, computed with meta-GGA SCAN.

a = 7.316 Å, b = 7.316 Å, c = 7.316 Å
α = 60.00°, β = 60.00°, γ = 60.00°
Fractional coordinates of all 10 atoms:
Rb: 0.250 0.250 0.250
Rb: 0.750 0.750 0.750
Li: 0.000 0.000 0.000
Sm: 0.500 0.500 0.500
Cl: 0.243 0.243 0.757
Cl: 0.243 0.757 0.243
Cl: 0.243 0.757 0.757
Cl: 0.757 0.243 0.243
Cl: 0.757 0.243 0.757
Cl: 0.757 0.757 0.243

## Properties
- calculated total energy (eV/atom) = -15.95
- uncorrected formation energy (eV/atom) = -2.33

=====

No. 5
BaInSi at its PBEsol-relaxed geometry, computed with meta-GGA SCAN.

a = 5.097 Å, b = 5.097 Å, c = 5.097 Å
α = 60.00°, β = 60.00°, γ = 60.00°
Fractional coordinates of all 3 atoms:
Ba: 0.000 0.000 0.000
In: 0.500 0.500 0.500
Si: 0.250 0.250 0.250

## Properties
- calculated total energy (eV/atom) = -27.75
- uncorrected formation energy (eV/atom) = -0.10

=====

No. 6
HgAuSe2 at its PBEsol-relaxed geometry, computed with meta-GGA SCAN.

a = 3.740 Å, b = 3.740 Å, c = 6.580 Å
α = 90.00°, β = 90.00°, γ = 90.00°
Fractional coordinates of all 4 atoms:
Hg: 0.000 0.000 0.000
Au: 0.500 0.500 0.866
Se: 0.000 0.000 0.434
Se: 0.500 0.500 0.468

## Properties
- calculated total energy (eV/atom) = -44.22
- uncorrected formation energy (eV/atom) = 0.15

=====

No. 7
LaScSb2 at its PBEsol-relaxed geometry, computed with meta-GGA SCAN.

a = 7.451 Å, b = 7.451 Å, c = 7.451 Å
α = 33.96°, β = 33.96°, γ = 33.96°
Fractional coordinates of all 4 atoms:
La: 0.000 0.000 0.000
Sc: 0.500 0.500 0.500
Sb: 0.240 0.240 0.240
Sb: 0.760 0.760 0.760

## Properties
- calculated total energy (eV/atom) = -34.17
- uncorrected formation energy (eV/atom) = -1.20

=====

No. 8
As2OsW at its PBEsol-relaxed geometry, computed with meta-GGA SCAN.

a = 4.461 Å, b = 4.461 Å, c = 4.461 Å
α = 60.00°, β = 60.00°, γ = 60.00°
Fractional coordinates of all 4 atoms:
As: 0.000 0.000 0.000
As: 0.250 0.250 0.250
Os: 0.500 0.500 0.500
W: 0.750 0.750 0.750

## Properties
- calculated formation energy (meV/atom) = 799
- offset from the most stable computed form (meV per atom) = 503.3
- calculated total energy (eV/atom) = -44.69